(1)
CaPm5Nd8, optimized geometry, DFT PBE; density of states at the Fermi level = 20.79 states/eV per cell; energy of formation = 223.6 meV per atom; theoretical density = 6.26 g/cm³
1.0
-4.942 4.942 5.212
4.942 -4.942 5.212
4.942 4.942 -5.212
Ca Pm Nd
1 5 8
Cartesian
0.000 0.000 0.000 Ca
2.886 -1.064 3.367 Pm
3.878 2.057 1.844 Pm
2.057 6.007 -1.844 Pm
0.000 4.942 2.606 Pm
1.064 2.886 7.056 Pm
6.671 0.861 -0.046 Nd
4.225 3.206 -1.556 Nd
0.861 3.214 0.046 Nd
0.717 1.736 3.656 Nd
1.736 -0.717 6.768 Nd
4.082 1.728 5.258 Nd
3.206 5.660 1.556 Nd
-1.728 4.082 5.166 Nd

(2)
CaPm12Nd7, optimized geometry, DFT PBE; density of states at the Fermi level = 25.18 states/eV per cell; energy of formation = 562.8 meV per atom; theoretical density = 5.87 g/cm³
1.0
-5.822 5.822 5.822
5.822 -5.822 5.822
5.822 5.822 -5.822
Ca Pm Nd
1 12 7
Cartesian
0.000 0.000 0.000 Ca
5.822 2.861 -2.861 Pm
5.822 -2.861 2.861 Pm
2.861 5.822 -2.861 Pm
2.961 2.961 0.000 Pm
2.961 0.000 2.961 Pm
2.861 -2.861 5.822 Pm
5.822 2.861 2.861 Pm
0.000 2.961 2.961 Pm
-2.861 5.822 2.861 Pm
-2.861 2.861 5.822 Pm
2.861 5.822 2.861 Pm
2.861 2.861 5.822 Pm
2.911 2.911 -2.911 Nd
2.911 -2.911 2.911 Nd
5.822 0.000 0.000 Nd
-2.911 2.911 2.911 Nd
0.000 5.822 0.000 Nd
0.000 0.000 5.822 Nd
2.911 2.911 2.911 Nd

(3)
CaPmNd14, optimized geometry, DFT PBE; density of states at the Fermi level = 22.45 states/eV per cell; energy of formation = 21.6 meV per atom; theoretical density = 6.45 g/cm³
1.0
7.381 0.000 0.000
0.000 7.381 0.000
0.000 0.000 10.410
Ca Pm Nd
1 1 14
Cartesian
0.000 0.000 0.000 Ca
3.691 3.691 0.000 Pm
0.000 0.000 5.205 Nd
0.000 3.691 0.000 Nd
0.000 3.691 5.205 Nd
1.869 1.869 2.628 Nd
1.869 1.869 7.782 Nd
1.869 5.512 2.628 Nd
1.869 5.512 7.782 Nd
3.691 0.000 0.000 Nd
3.691 0.000 5.205 Nd
3.691 3.691 5.205 Nd
5.512 1.869 2.628 Nd
5.512 1.869 7.782 Nd
5.512 5.512 2.628 Nd
5.512 5.512 7.782 Nd

(4)
Ca3Pm2Nd2, optimized geometry, DFT PBE; density of states at the Fermi level = 9.79 states/eV per cell; energy of formation = 51.4 meV per atom; theoretical density = 4.36 g/cm³
1.0
2.869 -12.647 0.000
2.869 12.647 0.000
0.000 0.000 3.667
Ca Pm Nd
3 2 2
Cartesian
0.000 0.000 0.000 Ca
2.869 1.929 1.834 Ca
2.869 -1.929 1.834 Ca
2.869 8.685 0.000 Pm
2.869 -8.685 0.000 Pm
2.869 5.484 1.834 Nd
2.869 -5.484 1.834 Nd

(5)
CaPm4Nd15, optimized geometry, DFT PBE; density of states at the Fermi level = 29.65 states/eV per cell; energy of formation = 22.8 meV per atom; theoretical density = 6.54 g/cm³
1.0
5.217 0.000 0.000
0.000 5.217 0.000
0.000 0.000 25.977
Ca Pm Nd
1 4 15
Cartesian
0.000 0.000 0.000 Ca
0.000 0.000 5.202 Pm
0.000 0.000 10.396 Pm
0.000 0.000 15.580 Pm
0.000 0.000 20.775 Pm
0.000 2.609 2.667 Nd
0.000 2.609 7.809 Nd
0.000 2.609 12.988 Nd
0.000 2.609 18.168 Nd
0.000 2.609 23.309 Nd
2.609 0.000 2.667 Nd
2.609 0.000 7.809 Nd
2.609 0.000 12.988 Nd
2.609 0.000 18.168 Nd
2.609 0.000 23.309 Nd
2.609 2.609 0.000 Nd
2.609 2.609 5.193 Nd
2.609 2.609 10.386 Nd
2.609 2.609 15.591 Nd
2.609 2.609 20.784 Nd

(6)
CaPm3Nd, optimized geometry, DFT PBE; density of states at the Fermi level = 15.56 states/eV per cell; energy of formation = 172.9 meV per atom; theoretical density = 5.66 g/cm³
1.0
2.767 -5.734 0.000
2.767 5.734 0.000
0.000 0.000 11.452
Ca Pm Nd
2 6 2
Cartesian
2.767 3.944 0.000 Ca
2.767 -3.944 0.000 Ca
2.767 3.977 3.490 Pm
2.767 3.977 7.961 Pm
2.767 0.000 2.120 Pm
2.767 0.000 9.332 Pm
2.767 -3.977 3.490 Pm
2.767 -3.977 7.961 Pm
2.767 1.577 5.726 Nd
2.767 -1.577 5.726 Nd

(7)
CaPm2Pr4Nd2, optimized geometry, DFT PBE; density of states at the Fermi level = 14.30 states/eV per cell; energy of formation = 29.5 meV per atom; theoretical density = 6.05 g/cm³
1.0
7.873 -2.628 0.000
7.873 2.628 0.000
-2.658 0.000 7.841
Ca Pm Pr Nd
1 2 4 2
Cartesian
0.000 0.000 0.000 Ca
0.010 0.000 5.201 Pm
13.079 0.000 2.640 Pm
2.646 0.000 2.636 Pr
5.241 0.000 5.156 Pr
7.848 0.000 2.684 Pr
10.443 0.000 5.205 Pr
5.171 0.000 0.018 Nd
7.917 0.000 7.823 Nd

(8)
CaPm3Pr6Nd2, optimized geometry, DFT PBE; density of states at the Fermi level = 16.15 states/eV per cell; energy of formation = 23.6 meV per atom; theoretical density = 6.21 g/cm³
1.0
3.211 -5.568 0.000
3.211 5.568 0.000
-2.144 0.000 12.035
Ca Pm Pr Nd
1 3 6 2
Cartesian
0.000 0.000 0.000 Ca
2.139 3.718 6.018 Pm
2.139 0.000 6.018 Pm
2.139 -3.718 6.018 Pm
1.093 1.887 3.044 Pr
0.028 0.000 8.985 Pr
1.093 -1.887 3.044 Pr
3.186 1.887 8.991 Pr
4.251 0.000 3.050 Pr
3.186 -1.887 8.991 Pr
3.211 1.863 0.000 Nd
3.211 -1.863 0.000 Nd